Below is a relaxed Hf2BiAu2 crystal, with properties calculated at the PBE level. Values from VASP.

Results
Formation energy, eV per atom: -0.256
Calculated total energy, eV per atom: -6.325

Quantum ESPRESSO input file:
```
&SYSTEM
  ibrav = 0, nat = 10, ntyp = 3
/
ATOMIC_SPECIES
Hf 178.49 Hf.upf
Bi 208.98 Bi.upf
Au 196.97 Au.upf
ATOMIC_POSITIONS angstrom
Hf 1.342 2.757 0.000
Hf 2.757 6.856 0.000
Hf 5.442 1.342 0.000
Hf 6.856 5.442 0.000
Bi 0.000 0.000 1.630
Bi 4.099 4.099 1.630
Au 1.053 5.152 1.630
Au 3.047 1.053 1.630
Au 5.152 7.146 1.630
Au 7.146 3.047 1.630
CELL_PARAMETERS angstrom
8.198 0.000 0.000
0.000 8.198 0.000
0.000 0.000 3.260
```

***

Below is a relaxed Tc2BiOsCl crystal, with properties calculated at the PBE level. Values from VASP.

Results
E_form (uncorrected), eV/atom: 2.638
Calculated total energy, eV per atom: -4.900

Quantum ESPRESSO input file:
```
&SYSTEM
  ibrav = 0, nat = 5, ntyp = 4
/
ATOMIC_SPECIES
Tc 98.00 Tc.upf
Bi 208.98 Bi.upf
Os 190.23 Os.upf
Cl 35.45 Cl.upf
ATOMIC_POSITIONS angstrom
Tc 0.000 2.592 0.000
Tc 2.592 0.000 0.000
Bi 0.000 0.000 0.000
Os 2.592 2.592 2.576
Cl 0.000 0.000 2.576
CELL_PARAMETERS angstrom
5.183 0.000 0.000
0.000 5.183 0.000
0.000 0.000 5.151
```

***

Below is a relaxed HoScAsO2 crystal, with properties calculated at the PBE level. Values from VASP.

Results
E_form (uncorrected), eV/atom: -2.611
Calculated total energy, eV per atom: -7.706

Quantum ESPRESSO input file:
```
&SYSTEM
  ibrav = 0, nat = 5, ntyp = 4
/
ATOMIC_SPECIES
Ho 164.93 Ho.upf
Sc 44.96 Sc.upf
As 74.92 As.upf
O 16.00 O.upf
ATOMIC_POSITIONS angstrom
Ho 0.000 0.000 0.000
Sc 0.000 0.000 8.402
As 0.000 0.000 4.218
O 1.839 0.000 1.211
O 0.000 1.839 1.211
CELL_PARAMETERS angstrom
-1.839 1.839 6.226
1.839 -1.839 6.226
1.839 1.839 -6.226
```

***

Below is a relaxed Ac2LaY crystal, with properties calculated at the PBE level. Values from VASP.

Results
Formation energy, eV per atom: 0.029
Calculated total energy, eV per atom: -4.874

Quantum ESPRESSO input file:
```
&SYSTEM
  ibrav = 0, nat = 4, ntyp = 3
/
ATOMIC_SPECIES
Ac 227.00 Ac.upf
La 138.91 La.upf
Y 88.91 Y.upf
ATOMIC_POSITIONS angstrom
Ac 0.000 0.000 1.893
Ac 0.000 0.000 5.740
La 1.926 2.682 3.817
Y 1.926 2.682 0.000
CELL_PARAMETERS angstrom
3.852 0.000 0.000
0.000 5.365 0.000
0.000 0.000 7.634
```

***

Below is a relaxed Li3Ni2 crystal, with properties calculated at the PBE level. Values from VASP.

Results
Formation energy, eV per atom: 0.018
Calculated total energy, eV per atom: -3.443

Quantum ESPRESSO input file:
```
&SYSTEM
  ibrav = 0, nat = 10, ntyp = 2
/
ATOMIC_SPECIES
Li 6.94 Li.upf
Ni 58.69 Ni.upf
ATOMIC_POSITIONS angstrom
Li 0.000 0.000 0.000
Li 2.161 5.873 0.614
Li 4.096 9.357 1.038
Li 4.548 14.133 1.038
Li 6.708 15.229 1.652
Li 6.256 20.006 1.652
Ni 4.441 4.846 0.793
Ni 6.363 10.719 1.407
Ni 4.203 18.644 0.793
Ni 2.280 12.771 1.407
CELL_PARAMETERS angstrom
0.000 11.745 1.228
4.322 0.000 1.228
4.322 11.745 0.000
```

***

Below is a relaxed Tb2Nd3Mg crystal, with properties calculated at the PBE level. Values from VASP.

Results
Formation energy, eV per atom: 0.016
Calculated total energy, eV per atom: -4.177

Quantum ESPRESSO input file:
```
&SYSTEM
  ibrav = 0, nat = 12, ntyp = 3
/
ATOMIC_SPECIES
Tb 158.93 Tb.upf
Nd 144.24 Nd.upf
Mg 24.30 Mg.upf
ATOMIC_POSITIONS angstrom
Tb 2.910 0.877 0.545
Tb 2.865 -0.877 3.668
Tb 14.582 0.877 2.577
Tb 14.537 -0.877 5.700
Nd 8.746 2.609 1.561
Nd 5.800 0.883 2.623
Nd 5.755 -0.883 5.746
Nd 11.692 0.883 0.499
Nd 11.647 -0.883 3.622
Nd 8.701 -2.609 4.684
Mg 8.701 0.937 4.684
Mg 8.746 -0.937 1.561
CELL_PARAMETERS angstrom
8.769 -3.543 0.000
8.769 3.543 0.000
-0.090 0.000 6.246
```

***

Below is a relaxed CeFeGe4 crystal, with properties calculated at the PBE level. Values from VASP.

Results
Formation energy, eV per atom: -0.279
Calculated total energy, eV per atom: -5.757

Quantum ESPRESSO input file:
```
&SYSTEM
  ibrav = 0, nat = 12, ntyp = 3
/
ATOMIC_SPECIES
Ce 140.12 Ce.upf
Fe 55.84 Fe.upf
Ge 72.64 Ge.upf
ATOMIC_POSITIONS angstrom
Ce 1.860 0.000 1.203
Ce 5.580 0.000 6.166
Fe 1.860 0.000 5.255
Fe 5.580 0.000 2.114
Ge 0.000 0.000 3.685
Ge 0.571 1.983 6.195
Ge 1.860 1.983 3.518
Ge 3.148 1.983 6.195
Ge 3.720 0.000 3.685
Ge 4.291 1.983 1.174
Ge 5.580 1.983 3.851
Ge 6.868 1.983 1.174
CELL_PARAMETERS angstrom
7.440 0.000 0.000
0.000 3.965 0.000
0.000 0.000 7.369
```

***

Below is a relaxed PuZn4Bi crystal, with properties calculated at the PBE level. Values from VASP.

Results
Formation energy, eV per atom: 0.002
Calculated total energy, eV per atom: -3.883

Quantum ESPRESSO input file:
```
&SYSTEM
  ibrav = 0, nat = 6, ntyp = 3
/
ATOMIC_SPECIES
Pu 244.00 Pu.upf
Zn 65.41 Zn.upf
Bi 208.98 Bi.upf
ATOMIC_POSITIONS angstrom
Pu 0.000 0.000 0.000
Zn 4.933 2.961 2.961
Zn 2.961 4.933 2.961
Zn 2.961 2.961 4.933
Zn 4.933 4.933 4.933
Bi 1.973 1.973 1.973
CELL_PARAMETERS angstrom
0.000 3.947 3.947
3.947 0.000 3.947
3.947 3.947 0.000
```

***

no.,calculated volume (Å³/cell)
1,219
2,138
3,84
4,158
5,125
6,388
7,217
8,123